Record 1
A plane-wave DFT calculation with PBE-GGA was carried out for BaLaPu after structural relaxation.

## Properties
Total energy, hartree per atom: -0.225
Magnetization, μB per atom: 2.53

```
BaLaPu
1.0
0.000 4.075 4.075
4.075 0.000 4.075
4.075 4.075 0.000
Ba La Pu
1 1 1
Direct
0.000 0.000 0.000
0.250 0.250 0.250
0.500 0.500 0.500
```

=====

Record 2
A plane-wave DFT calculation with PBE-GGA was carried out for BaLaTbSe3 after structural relaxation.

## Properties
Total energy, hartree per atom: -0.196
Magnetization, μB per atom: 0.29

```
BaLaTbSe3
1.0
2.246 -7.533 0.000
2.246 7.533 0.000
0.000 0.000 11.235
Ba La Tb Se
2 2 2 6
Direct
0.242 0.758 0.750
0.758 0.242 0.250
0.000 0.000 0.000
0.000 0.000 0.500
0.483 0.517 0.250
0.517 0.483 0.750
0.099 0.901 0.250
0.365 0.635 0.060
0.365 0.635 0.440
0.635 0.365 0.560
0.635 0.365 0.940
0.901 0.099 0.750
```

=====

- magnetization of number 2 (BaLaTbSe3)?
  0.29 μB per atom

=====

- What is the total energy in the second record?
  -0.196 hartree per atom